(1)
# GeSeN2O | the Alexandria database | PBE | relaxed
# E (eV per atom): -4.51
# Formation energy from raw total energies (eV per formula unit): 7.2
data_GeSeN2O
_chemical_formula_sum 'Ge1 Se1 N2 O1'
_cell_length_a 3.522
_cell_length_b 3.522
_cell_length_c 6.550
_cell_angle_alpha 90.00
_cell_angle_beta 90.00
_cell_angle_gamma 90.00
_symmetry_space_group_name_H-M 'P 4/m m m'
_symmetry_Int_Tables_number 123
_symmetry_space_group_name_Hall '-P 4 2'
loop_
_atom_site_label
_atom_site_fract_x
_atom_site_fract_y
_atom_site_fract_z
_atom_site_occupancy
Ge1 0.000 0.000 0.000 1
Se1 0.000 0.000 0.500 1
N1 0.000 0.500 0.000 1
O1 0.500 0.500 0.500 1

=====

(2)
# ThPaNi4 | the Alexandria database | PBE | relaxed
# E (eV per atom): -7.04
# E_form (meV per atom): -366
data_ThPaNi4
_chemical_formula_sum 'Th2 Pa2 Ni8'
_cell_length_a 3.670
_cell_length_b 3.670
_cell_length_c 15.680
_cell_angle_alpha 90.00
_cell_angle_beta 90.00
_cell_angle_gamma 90.00
_symmetry_space_group_name_H-M 'I -4 m 2'
_symmetry_Int_Tables_number 119
_symmetry_space_group_name_Hall 'I -4 -2'
loop_
_atom_site_label
_atom_site_fract_x
_atom_site_fract_y
_atom_site_fract_z
_atom_site_occupancy
Th1 0.000 0.000 0.000 1
Pa1 0.000 0.500 0.250 1
Ni1 0.000 0.000 0.421 1
Ni2 0.000 0.500 0.675 1

=====

The lowest E belongs to which entry? ThPaNi4

=====

Look up the E of the second one. -7.04 eV per atom